1.
First-principles (GGA-PBE) data for an optimized crystal structure of HfScAu, as listed in Alexandria.

For the formation energy, the calculation gives -0.42 eV/atom. As for the distance to the lowest polymorph of the same formula: 59 meV per atom.

a b c (Å): 6.221 6.221 6.221
angles (deg): 149.37 149.37 43.86
Fractional coordinates of all 3 atoms:
Hf1 0.000 0.000 0.000
Sc1 0.320 0.320 0.000
Au1 0.657 0.657 0.000

=====

2.
First-principles (GGA-PBE) data for an optimized crystal structure of Tm2PaNi3, as listed in Alexandria.

For the formation energy, the calculation gives -0.45 eV/atom.

a b c (Å): 4.308 14.986 3.570
angles (deg): 90.00 90.00 90.00
Fractional coordinates of all 12 atoms:
Tm1 0.250 0.073 0.247
Tm2 0.250 0.427 0.247
Tm3 0.750 0.573 0.753
Tm4 0.750 0.927 0.753
Pa1 0.250 0.750 0.756
Pa2 0.750 0.250 0.244
Ni1 0.250 0.250 0.744
Ni2 0.250 0.621 0.255
Ni3 0.250 0.879 0.255
Ni4 0.750 0.121 0.745
Ni5 0.750 0.379 0.745
Ni6 0.750 0.750 0.256

=====

3.
First-principles (GGA-PBE) data for an optimized crystal structure of LuPaCdHg, as listed in Alexandria.

For the formation energy, the calculation gives 0.04 eV/atom.

a b c (Å): 5.243 5.243 5.243
angles (deg): 60.00 60.00 60.00
Fractional coordinates of all 4 atoms:
Lu1 0.000 0.000 0.000
Pa1 0.500 0.500 0.500
Cd1 0.750 0.750 0.750
Hg1 0.250 0.250 0.250

=====

4.
First-principles (GGA-PBE) data for an optimized crystal structure of Tb6Dy2Ho3Th, as listed in Alexandria.

For the formation energy, the calculation gives 0.02 eV/atom.

a b c (Å): 6.149 6.149 11.783
angles (deg): 94.98 94.98 119.94
Fractional coordinates of all 12 atoms:
Tb1 0.084 0.414 0.750
Tb2 0.246 0.246 0.250
Tb3 0.414 0.084 0.750
Tb4 0.586 0.916 0.250
Tb5 0.754 0.754 0.750
Tb6 0.916 0.586 0.250
Dy1 0.333 0.667 0.500
Dy2 0.667 0.333 0.500
Ho1 0.167 0.833 0.000
Ho2 0.500 0.500 0.000
Ho3 0.833 0.167 0.000
Th1 0.000 0.000 0.500

=====

5.
First-principles (GGA-PBE) data for an optimized crystal structure of Y2VH, as listed in Alexandria.

As for the distance to the lowest polymorph of the same formula: 0 meV per atom.

a b c (Å): 6.028 6.028 6.028
angles (deg): 111.36 111.36 105.76
Fractional coordinates of all 8 atoms:
Y1 0.026 0.625 0.901
Y2 0.375 0.276 0.401
Y3 0.724 0.125 0.099
Y4 0.875 0.974 0.599
V1 0.250 0.750 0.500
V2 0.500 0.500 0.000
H1 0.000 0.000 0.000
H2 0.750 0.250 0.500

=====

6.
First-principles (GGA-PBE) data for an optimized crystal structure of Sr2CuC, as listed in Alexandria.

For the formation energy, the calculation gives 0.74 eV/atom.

a b c (Å): 6.689 6.689 6.689
angles (deg): 111.87 111.87 104.76
Fractional coordinates of all 8 atoms:
Sr1 0.065 0.625 0.940
Sr2 0.375 0.315 0.440
Sr3 0.685 0.125 0.060
Sr4 0.875 0.935 0.560
Cu1 0.250 0.750 0.500
Cu2 0.500 0.500 0.000
C1 0.000 0.000 0.000
C2 0.750 0.250 0.500

=====

7.
First-principles (GGA-PBE) data for an optimized crystal structure of Y2HgOs, as listed in Alexandria.

For the formation energy, the calculation gives -0.11 eV/atom.

a b c (Å): 6.597 6.597 4.783
angles (deg): 111.18 111.18 30.08
Fractional coordinates of all 4 atoms:
Y1 0.000 0.000 0.000
Y2 0.203 0.203 0.702
Hg1 0.810 0.810 0.309
Os1 0.509 0.509 0.509

=====

8.
First-principles (GGA-PBE) data for an optimized crystal structure of Sm4AlIr, as listed in Alexandria.

For the formation energy, the calculation gives -0.47 eV/atom. As for the distance to the lowest polymorph of the same formula: 0 meV per atom.

a b c (Å): 9.748 9.748 9.748
angles (deg): 60.00 60.00 60.00
Fractional coordinates of all 24 atoms:
Sm1 0.188 0.188 0.812
Sm2 0.188 0.812 0.188
Sm3 0.188 0.812 0.812
Sm4 0.399 0.399 0.399
Sm5 0.399 0.399 0.803
Sm6 0.399 0.803 0.399
Sm7 0.555 0.555 0.945
Sm8 0.555 0.945 0.555
Sm9 0.555 0.945 0.945
Sm10 0.803 0.399 0.399
Sm11 0.812 0.188 0.188
Sm12 0.812 0.188 0.812
Sm13 0.812 0.812 0.188
Sm14 0.945 0.555 0.555
Sm15 0.945 0.555 0.945
Sm16 0.945 0.945 0.555
Al1 0.174 0.174 0.174
Al2 0.174 0.174 0.477
Al3 0.174 0.477 0.174
Al4 0.477 0.174 0.174
Ir1 0.174 0.609 0.609
Ir2 0.609 0.174 0.609
Ir3 0.609 0.609 0.174
Ir4 0.609 0.609 0.609